No. 1
Entry from Alexandria: an optimized crystal structure of BeV4Tc2 (PBE).

Lattice parameters (Å, degrees): 4.0956 4.0956 12.1425 90.00 90.00 90.00
Last column: nearest neighbours and their distance in Å.
Space group I4/mmm (No. 139)
Inequivalent atoms, fractional coordinates:
1 Be 0.0000 0.0000 0.0000 x2  6 V 2.05-2.24
2 V 0.0000 0.0000 0.1843 x4  1 Be 2.24, 1 Tc 2.28
3 V 0.0000 0.5000 0.0000 x4  2 Be 2.05
4 Tc 0.0000 0.0000 0.3723 x4  1 V 2.28

Calculated values
For the density, the calculation gives 6.67 g/cm³. The crystal system is tetragonal. Its volume is 204 Å³/cell. Its electronic total energy is -113.171 eV per cell.

=====

No. 2
Entry from Alexandria: an optimized crystal structure of BeTcW2 (PBE).

Lattice parameters (Å, degrees): 5.2882 8.5246 2.7018 90.00 108.49 90.00
Last column: nearest neighbours and their distance in Å.
Space group C2/m (No. 12)
Inequivalent atoms, fractional coordinates:
1 Be 0.0000 0.0000 0.0000 x2  4 W 2.64, 2 Tc 2.64, 2 Be 2.70
2 Tc 0.0000 0.5000 0.0000 x2  4 W 2.64, 2 Be 2.64, 2 Tc 2.70
3 W 0.2500 0.2500 0.5000 x4  2 Tc 2.64, 2 Be 2.64, 4 W 2.64-2.70

Calculated values
For the density, the calculation gives 13.65 g/cm³. The crystal system is monoclinic. Its volume is 116 Å³/cell. Its electronic total energy is -78.414 eV per cell.

=====

No. 3
Entry from Alexandria: an optimized crystal structure of BeTcW2 (PBE).

Lattice parameters (Å, degrees): 3.1949 4.3717 8.0847 90.00 90.00 90.00
Last column: nearest neighbours and their distance in Å.
Space group Cmmm (No. 65)
Inequivalent atoms, fractional coordinates:
1 Be 0.0000 0.0000 0.0000 x2  4 W 2.44, 4 Be 2.71
2 Tc 0.0000 0.0000 0.5000 x2  4 Tc 2.71, 4 W 2.72
3 W 0.0000 0.5000 0.2278 x4  2 Be 2.44, 4 W 2.71, 2 Tc 2.72

Calculated values
For the density, the calculation gives 13.96 g/cm³. The crystal system is orthorhombic. Its volume is 113 Å³/cell. Its electronic total energy is -78.418 eV per cell.

=====

No. 4
Entry from Alexandria: an optimized crystal structure of BeTcW2 (PBE).

Lattice parameters (Å, degrees): 3.1305 4.2654 8.5896 90.00 90.00 90.00
Last column: nearest neighbours and their distance in Å.
Space group Immm (No. 71)
Inequivalent atoms, fractional coordinates:
1 Be 0.0000 0.0000 0.0000 x2  4 Tc 2.65, 4 W 2.69
2 Tc 0.0000 0.0000 0.5000 x2  4 W 2.62, 4 Be 2.65
3 W 0.0000 0.5000 0.2449 x4  2 Tc 2.62, 4 W 2.65, 2 Be 2.69

Calculated values
For the density, the calculation gives 13.74 g/cm³. The crystal system is orthorhombic. Its volume is 115 Å³/cell. Its electronic total energy is -78.853 eV per cell.

=====

No. 5
Entry from Alexandria: an optimized crystal structure of Be9TcW2 (PBE).

Lattice parameters (Å, degrees): 4.3906 4.3906 13.8379 90.00 90.00 120.00
Last column: nearest neighbours and their distance in Å.
Space group P6_3/mmc (No. 194)
Inequivalent atoms, fractional coordinates:
1 Be 0.0000 0.0000 0.0000 x2  6 Be 2.18
2 Be 0.0000 0.0000 0.2500 x2  6 Be 2.12
3 Be 0.1682 0.3364 0.1277 x12  7 Be 2.11-2.22
4 Be 0.3333 0.6667 0.2500 x2  6 Be 2.11
5 Tc 0.3333 0.6667 0.7500 x2  18 Be 2.53-2.77
6 W 0.3333 0.6667 0.5316 x4  12 Be 2.54-2.57, 3 W 2.68

Calculated values
For the density, the calculation gives 7.86 g/cm³. The crystal system is hexagonal. Its volume is 231 Å³/cell. Its electronic total energy is -145.643 eV per cell.

=====

No. 6
Entry from Alexandria: an optimized crystal structure of Be4TcW (PBE).

Lattice parameters (Å, degrees): 6.2367 6.2367 6.2367 90.00 90.00 90.00
Last column: nearest neighbours and their distance in Å.
Space group F-43m (No. 216)
Inequivalent atoms, fractional coordinates:
1 Be 0.1240 0.1240 0.3760 x16  6 Be 2.19-2.22
2 Tc 0.0000 0.0000 0.0000 x4  12 Be 2.59, 4 W 2.70
3 W 0.2500 0.2500 0.7500 x4  12 Be 2.58, 4 Tc 2.70

Calculated values
For the density, the calculation gives 8.70 g/cm³. The crystal system is cubic. Its volume is 243 Å³/cell. Its electronic total energy is -161.966 eV per cell.

=====

No. 7
Entry from Alexandria: an optimized crystal structure of BeTc2W (PBE).

Lattice parameters (Å, degrees): 2.7504 3.9169 5.1420 90.00 90.00 90.00
Last column: nearest neighbours and their distance in Å.
Space group Pmm2 (No. 25)
Inequivalent atoms, fractional coordinates:
1 Be 0.0000 0.0000 0.0000 x1  6 Tc 2.53-2.68, 4 W 2.70, 2 Be 2.75
2 Tc 0.0000 0.0000 0.4915 x1  2 Be 2.53-2.61, 6 Tc 2.73-2.75, 4 W 2.76
3 Tc 0.5000 0.5000 0.2360 x1  2 W 2.46-2.68, 4 Be 2.68, 6 Tc 2.73-2.75
4 W 0.5000 0.5000 0.7573 x1  6 Tc 2.46-2.76, 4 Be 2.70, 2 W 2.75

Calculated values
For the density, the calculation gives 11.66 g/cm³. The crystal system is orthorhombic. Its volume is 55 Å³/cell. Its electronic total energy is -37.020 eV per cell.

=====

No. 8
Entry from Alexandria: an optimized crystal structure of BeTc2W (PBE).

Lattice parameters (Å, degrees): 2.7324 3.9788 5.1222 90.00 96.66 90.00
Last column: nearest neighbours and their distance in Å.
Space group Pm (No. 6)
Inequivalent atoms, fractional coordinates:
1 Be 0.0000 0.0000 0.0000 x1  4 Tc 2.54-2.59, 4 W 2.62-2.77, 2 Be 2.73
2 Tc 0.4189 0.5000 0.2412 x1  2 W 2.47-2.67, 2 Be 2.54, 6 Tc 2.73-2.74
3 Tc 0.9693 0.0000 0.4936 x1  2 Be 2.54-2.59, 6 Tc 2.73-2.74, 4 W 2.75-2.82
4 W 0.5011 0.5000 0.7653 x1  4 Tc 2.47-2.75, 4 Be 2.62-2.77, 2 W 2.73

Calculated values
For the density, the calculation gives 11.67 g/cm³. The crystal system is monoclinic. Its volume is 55 Å³/cell. Its electronic total energy is -37.025 eV per cell.

=====

No. 9
Entry from Alexandria: an optimized crystal structure of BeTc3W (PBE).

Lattice parameters (Å, degrees): 4.1227 4.1227 4.1227 90.00 90.00 90.00
Last column: nearest neighbours and their distance in Å.
Space group Pm-3m (No. 221)
Inequivalent atoms, fractional coordinates:
1 Be 0.0000 0.0000 0.0000 x1  6 Tc 2.06
2 Tc 0.0000 0.0000 0.5000 x3  2 Be 2.06
3 W 0.5000 0.5000 0.5000 x1  12 Tc 2.92

Calculated values
For the density, the calculation gives 11.54 g/cm³. The crystal system is cubic. Its volume is 70 Å³/cell. Its electronic total energy is -45.265 eV per cell.

=====

No. 10
Entry from Alexandria: an optimized crystal structure of BeTcW2 (PBE).

Lattice parameters (Å, degrees): 3.7763 3.7763 8.0353 90.00 90.00 90.00
Last column: nearest neighbours and their distance in Å.
Space group I4/mmm (No. 139)
Inequivalent atoms, fractional coordinates:
1 Be 0.0000 0.0000 0.0000 x2  4 Tc 2.67, 8 W 2.76
2 Tc 0.0000 0.0000 0.5000 x2  4 Be 2.67, 8 W 2.76
3 W 0.0000 0.5000 0.2500 x4  4 W 2.67, 4 Tc 2.76, 4 Be 2.76

Calculated values
For the density, the calculation gives 13.76 g/cm³. The crystal system is tetragonal. Its volume is 115 Å³/cell. Its electronic total energy is -78.110 eV per cell.

=====

No. 11
Entry from Alexandria: an optimized crystal structure of BeTcW2 (PBE).

Lattice parameters (Å, degrees): 2.7993 3.8834 5.2825 90.00 90.00 90.00
Last column: nearest neighbours and their distance in Å.
Space group Pmmm (No. 47)
Inequivalent atoms, fractional coordinates:
1 Be 0.0000 0.0000 0.0000 x1  2 Tc 2.64, 8 W 2.73, 2 Be 2.80
2 Tc 0.0000 0.0000 0.5000 x1  2 Be 2.64, 8 W 2.74, 2 Tc 2.80
3 W 0.5000 0.5000 0.2474 x2  4 W 2.61-2.80, 4 Be 2.73, 4 Tc 2.74

Calculated values
For the density, the calculation gives 13.73 g/cm³. The crystal system is orthorhombic. Its volume is 57 Å³/cell. Its electronic total energy is -39.118 eV per cell.

=====

No. 12
Entry from Alexandria: an optimized crystal structure of BeTcW2 (PBE).

Lattice parameters (Å, degrees): 3.1679 3.1679 5.6339 90.00 90.00 90.00
Last column: nearest neighbours and their distance in Å.
Space group P4mm (No. 99)
Inequivalent atoms, fractional coordinates:
1 Be 0.0000 0.0000 0.0000 x1  4 Tc 2.55, 5 W 2.60-2.78
2 Tc 0.5000 0.5000 0.2151 x1  5 W 2.52-2.73, 4 Be 2.55
3 W 0.0000 0.0000 0.4935 x1  4 W 2.72, 4 Tc 2.73, 2 Be 2.78-2.85
4 W 0.5000 0.5000 0.7671 x1  1 Tc 2.52, 4 Be 2.60, 4 W 2.72

Calculated values
For the density, the calculation gives 13.94 g/cm³. The crystal system is tetragonal. Its volume is 57 Å³/cell. Its electronic total energy is -39.652 eV per cell.

=====

Question: Which formula does entry 7 have?
Answer: BeTc2W

=====

Question: volume of number 7 (BeTc2W)?
Answer: 55 Å³/cell